# 1
A relaxed structure of In3MoF. Source: Alexandria, functional PBE+U.

Lattice parameters (Å, degrees): 5.486 5.486 5.486 90.00 90.00 90.00
Fractional positions:
Mo (0.000, 0.000, 0.000)
F (0.500, 0.500, 0.500)
In (0.000, 0.500, 0.000)
In (0.000, 0.000, 0.500)
In (0.500, 0.000, 0.000)

Computed properties:
D(E_F)   3.74 states/eV/f.u.
ΔE to the lowest computed polymorph   1.84 eV per formula unit
Energy   -3.130 eV per atom
Size of the total moment   3.75 Bohr magnetons per cell

# 2
A relaxed structure of InMoF3. Source: Alexandria, functional PBE+U.

Lattice parameters (Å, degrees): 4.476 4.476 4.476 90.00 90.00 90.00
Fractional positions:
Mo (0.000, 0.000, 0.000)
F (0.000, 0.500, 0.000)
F (0.000, 0.000, 0.500)
F (0.500, 0.000, 0.000)
In (0.500, 0.500, 0.500)

Computed properties:
D(E_F)   1.77 states/eV/f.u.
ΔE to the lowest computed polymorph   0.00 eV per formula unit
Energy   -4.816 eV per atom
Size of the total moment   3.93 Bohr magnetons per cell

# 3
A relaxed structure of InMoF3. Source: Alexandria, functional PBE+U.

Lattice parameters (Å, degrees): 4.473 4.473 4.473 90.00 90.00 90.00
Fractional positions:
Mo (0.500, 0.500, 0.500)
F (0.000, 0.500, 0.000)
F (0.000, 0.000, 0.500)
F (0.500, 0.000, 0.000)
In (0.000, 0.000, 0.000)

Computed properties:
D(E_F)   0.76 states/eV/f.u.
ΔE to the lowest computed polymorph   1.83 eV per formula unit
Energy   -4.449 eV per atom
Size of the total moment   5.02 Bohr magnetons per cell

Q: What is the energy in the second record?
A: -4.816 eV per atom

Q: The lowest D(E_F) belongs to which entry?
A: number 3